Material: ZrTcMo3
Method: DFT, PBE-GGA
State: optimized geometry Values from VASP.

```
&SYSTEM
  ibrav = 0, nat = 5, ntyp = 3
/
ATOMIC_SPECIES
Zr 91.22 Zr.upf
Mo 95.94 Mo.upf
Tc 98.00 Tc.upf
CELL_PARAMETERS angstrom
-3.7373 2.1253 1.8653
0.1569 -2.9308 3.6538
2.8234 2.9762 2.2660
ATOMIC_POSITIONS angstrom
Zr 0.0000 0.0000 0.0000
Mo -1.8687 1.0627 0.9327
Mo 1.4117 1.4881 1.1330
Mo 0.0785 -1.4654 1.8269
Tc -0.3785 1.0854 3.8925
```

Properties
M_tot	0.0000	μB/atom
crystal system	cubic
DFT total energy	-7.925	eV/atom
mass density	7695	kg/m³

Material: Ga4CoIr2
Method: DFT, PBE-GGA
State: optimized geometry Values from VASP.

```
&SYSTEM
  ibrav = 0, nat = 7, ntyp = 3
/
ATOMIC_SPECIES
Ga 69.72 Ga.upf
Ir 192.22 Ir.upf
Co 58.93 Co.upf
CELL_PARAMETERS angstrom
3.0220 0.0000 0.0000
0.0000 5.4998 0.0335
-1.5110 -2.6608 6.4661
ATOMIC_POSITIONS angstrom
Ga 1.5110 1.1722 1.3744
Ga 0.0000 1.6668 5.1252
Ga 0.0000 3.6527 1.4320
Ga 1.5110 -0.8137 5.0676
Ir 1.5110 2.7902 3.3038
Ir 0.0000 0.0488 3.1958
Co 0.0000 0.0000 0.0000
```

Properties
M_tot	0.0497	μB/atom
crystal system	monoclinic
DFT total energy	-5.455	eV/atom
mass density	11132	kg/m³

Material: K2CoW
Method: DFT, PBE-GGA
State: optimized geometry Values from VASP.

```
&SYSTEM
  ibrav = 0, nat = 4, ntyp = 3
/
ATOMIC_SPECIES
K 39.10 K.upf
W 183.84 W.upf
Co 58.93 Co.upf
CELL_PARAMETERS angstrom
-3.8808 -2.6015 -2.0603
3.2397 -3.6597 -1.4781
-0.1911 1.4117 4.9034
ATOMIC_POSITIONS angstrom
K 0.0000 0.0000 0.0000
K 1.3640 -2.6893 0.8281
W -0.3206 -3.1306 -1.7692
Co -2.1963 -2.1602 0.5370
```

Properties
M_tot	0.3295	μB/atom
crystal system	cubic
DFT total energy	-3.609	eV/atom
mass density	5661	kg/m³

Material: Nd5Sc4Si4
Method: DFT, PBE-GGA
State: optimized geometry Values from VASP.

```
&SYSTEM
  ibrav = 0, nat = 13, ntyp = 3
/
ATOMIC_SPECIES
Si 28.09 Si.upf
Nd 144.24 Nd.upf
Sc 44.96 Sc.upf
CELL_PARAMETERS angstrom
4.1523 0.0000 1.0557
2.0761 8.7074 0.5279
-0.0695 0.0000 8.9668
ATOMIC_POSITIONS angstrom
Si 2.4047 5.9572 7.9292
Si 3.7543 2.7502 2.6211
Si 5.5507 7.0922 4.2490
Si 0.6082 1.6152 6.3014
Nd 0.0000 0.0000 0.0000
Nd 4.7900 8.0696 7.2408
Nd 2.1638 2.8702 8.8765
Nd 1.3689 0.6378 3.3095
Nd 3.9951 5.8372 1.6738
Sc 4.7506 4.4634 7.3960
Sc 1.4084 4.2440 3.1543
Sc 3.0524 2.7100 5.3815
Sc 3.1065 5.9974 5.1689
```

Properties
M_tot	0.0655	μB/atom
crystal system	tetragonal
E_form (uncorrected)	-515.1	meV per atom
mass density	5180	kg/m³

Material: CaPr2Au
Method: DFT, PBE-GGA
State: optimized geometry Values from VASP.

```
&SYSTEM
  ibrav = 0, nat = 4, ntyp = 3
/
ATOMIC_SPECIES
Pr 140.91 Pr.upf
Ca 40.08 Ca.upf
Au 196.97 Au.upf
CELL_PARAMETERS angstrom
3.7646 0.0000 0.0000
0.0000 3.7646 0.0000
0.0000 0.0000 9.4349
ATOMIC_POSITIONS angstrom
Pr 0.0000 0.0000 1.7765
Pr 0.0000 0.0000 7.6585
Ca 1.8823 1.8823 4.7175
Au 1.8823 1.8823 0.0000
```

Properties
M_tot	0.0001	μB/atom
crystal system	tetragonal
DFT total energy	-4.019	eV/atom
mass density	6443	kg/m³

Material: Zn2NiPt9
Method: DFT, PBE-GGA
State: optimized geometry Values from VASP.

```
&SYSTEM
  ibrav = 0, nat = 12, ntyp = 3
/
ATOMIC_SPECIES
Pt 195.08 Pt.upf
Zn 65.41 Zn.upf
Ni 58.69 Ni.upf
CELL_PARAMETERS angstrom
-0.5506 -1.8375 -3.4110
3.7624 -1.0762 -0.0275
-2.7824 -9.8747 5.7684
ATOMIC_POSITIONS angstrom
Pt 0.4900 -5.4754 2.8704
Pt 0.6824 -4.7343 0.1953
Pt -0.7309 -2.5359 -0.7608
Pt -0.4455 -8.7957 4.8100
Pt -2.6020 -9.1763 3.1182
Pt -1.6665 -5.8561 1.1787
Pt -0.2530 -8.0541 2.1346
Pt 1.4255 -2.1552 0.9309
Pt 1.6059 -1.4568 -1.7193
Zn -1.8572 -6.5914 3.8504
Zn -0.9251 -3.2833 1.9180
Ni 0.0000 0.0000 0.0000
```

Properties
M_tot	0.0291	μB/atom
crystal system	tetragonal
DFT total energy	-5.471	eV/atom
mass density	17921	kg/m³